Entry 1:
# Sr2GaPdO4 GGA-PBE optimized geometry
# ΔE_f (raw)   -14.71 eV/f.u.
data_Sr2GaPdO4
_symmetry_space_group_name_H-M 'P 1'
_symmetry_Int_Tables_number 1
_cell_length_a 5.444
_cell_length_b 5.444
_cell_length_c 5.444
_cell_angle_alpha 107.54
_cell_angle_beta 110.45
_cell_angle_gamma 110.45
loop_
_symmetry_equiv_pos_as_xyz
'x,y,z'
loop_
_atom_site_label
_atom_site_fract_x
_atom_site_fract_y
_atom_site_fract_z
Sr1 0.500 0.750 0.250
Sr2 0.000 0.000 0.000
O1 0.657 0.496 0.517
O2 0.343 0.860 0.839
O3 0.979 0.483 0.140
O4 0.021 0.161 0.504
Pd1 0.500 0.250 0.750
Ga1 0.000 0.500 0.500

---

Entry 2:
# SrGaPdO2 GGA-PBE optimized geometry
# Fermi-level density of states   0.790 states/eV/atom
# ΔE_f (raw)   -1.65 eV/f.u.
data_SrGaPdO2
_symmetry_space_group_name_H-M 'P 1'
_symmetry_Int_Tables_number 1
_cell_length_a 3.885
_cell_length_b 6.838
_cell_length_c 3.885
_cell_angle_alpha 90.00
_cell_angle_beta 90.00
_cell_angle_gamma 90.00
loop_
_symmetry_equiv_pos_as_xyz
'x,y,z'
loop_
_atom_site_label
_atom_site_fract_x
_atom_site_fract_y
_atom_site_fract_z
Ga1 0.000 0.000 0.000
Pd1 0.500 0.500 0.500
Sr1 0.000 0.500 0.000
O1 0.500 0.000 0.000
O2 0.000 0.000 0.500

---

Entry 3:
# Sr2GaPdO6 GGA-PBE optimized geometry
# Fermi-level density of states   0.888 states/eV/atom
# ΔE_f (raw)   -16.66 eV/f.u.
data_Sr2GaPdO6
_symmetry_space_group_name_H-M 'P 1'
_symmetry_Int_Tables_number 1
_cell_length_a 5.611
_cell_length_b 5.611
_cell_length_c 7.936
_cell_angle_alpha 90.00
_cell_angle_beta 90.00
_cell_angle_gamma 90.00
loop_
_symmetry_equiv_pos_as_xyz
'x,y,z'
loop_
_atom_site_label
_atom_site_fract_x
_atom_site_fract_y
_atom_site_fract_z
Pd1 0.500 0.250 0.000
Pd2 0.000 0.750 0.500
Ga1 0.500 0.250 0.500
Ga2 0.000 0.750 0.000
O1 0.500 0.250 0.748
O2 0.752 0.502 0.000
O3 0.252 0.002 0.500
O4 0.248 0.998 0.000
O5 0.000 0.750 0.248
O6 0.748 0.498 0.500
O7 0.248 0.502 0.000
O8 0.000 0.750 0.752
O9 0.748 0.002 0.500
O10 0.500 0.250 0.252
O11 0.752 0.998 0.000
O12 0.252 0.498 0.500
Sr1 0.500 0.750 0.250
Sr2 0.500 0.750 0.750
Sr3 0.000 0.250 0.250
Sr4 0.000 0.250 0.750

---

Entry 4:
# UGaPdO6 GGA-PBE optimized geometry
# Fermi-level density of states   0.292 states/eV/atom
# ΔE_f (raw)   -17.01 eV/f.u.
data_UGaPdO6
_symmetry_space_group_name_H-M 'P 1'
_symmetry_Int_Tables_number 1
_cell_length_a 4.894
_cell_length_b 4.894
_cell_length_c 9.367
_cell_angle_alpha 90.00
_cell_angle_beta 90.00
_cell_angle_gamma 90.00
loop_
_symmetry_equiv_pos_as_xyz
'x,y,z'
loop_
_atom_site_label
_atom_site_fract_x
_atom_site_fract_y
_atom_site_fract_z
U1 0.500 0.500 0.167
U2 0.000 0.000 0.667
O1 0.314 0.314 0.995
O2 0.301 0.301 0.333
O3 0.814 0.186 0.172
O4 0.699 0.699 0.333
O5 0.186 0.814 0.495
O6 0.186 0.814 0.172
O7 0.686 0.686 0.995
O8 0.801 0.199 0.833
O9 0.314 0.314 0.672
O10 0.199 0.801 0.833
O11 0.686 0.686 0.672
O12 0.814 0.186 0.495
Pd1 0.000 0.000 0.002
Pd2 0.500 0.500 0.502
Ga1 0.500 0.500 0.832
Ga2 0.000 0.000 0.332

---

Entry 5:
# ZnGaPdO4 GGA-PBE optimized geometry
# Fermi-level density of states   0.409 states/eV/atom
# ΔE_f (raw)   -8.12 eV/f.u.
data_ZnGaPdO4
_symmetry_space_group_name_H-M 'P 1'
_symmetry_Int_Tables_number 1
_cell_length_a 6.139
_cell_length_b 6.098
_cell_length_c 6.071
_cell_angle_alpha 119.85
_cell_angle_beta 90.00
_cell_angle_gamma 120.22
loop_
_symmetry_equiv_pos_as_xyz
'x,y,z'
loop_
_atom_site_label
_atom_site_fract_x
_atom_site_fract_y
_atom_site_fract_z
O1 0.268 0.536 0.757
O2 0.718 0.991 0.746
O3 0.727 0.009 0.254
O4 0.732 0.464 0.243
O5 0.732 0.464 0.721
O6 0.273 0.991 0.746
O7 0.268 0.536 0.279
O8 0.282 0.009 0.254
Ga1 0.500 0.000 0.500
Ga2 0.500 0.000 0.000
Pd1 0.500 0.500 0.500
Pd2 0.000 0.500 0.500
Zn1 0.124 0.249 0.874
Zn2 0.876 0.751 0.126

---

Entry 6:
# Pm4Ga2O GGA-PBE optimized geometry
# Fermi-level density of states   0.696 states/eV/atom
# ΔE_f (raw)   -7.64 eV/f.u.
data_Pm4Ga2O
_symmetry_space_group_name_H-M 'P 1'
_symmetry_Int_Tables_number 1
_cell_length_a 6.667
_cell_length_b 6.928
_cell_length_c 8.646
_cell_angle_alpha 90.00
_cell_angle_beta 108.90
_cell_angle_gamma 90.00
loop_
_symmetry_equiv_pos_as_xyz
'x,y,z'
loop_
_atom_site_label
_atom_site_fract_x
_atom_site_fract_y
_atom_site_fract_z
O1 0.270 0.750 0.197
O2 0.730 0.250 0.803
Pm1 0.091 0.750 0.924
Pm2 0.939 0.250 0.637
Pm3 0.509 0.501 0.262
Pm4 0.061 0.750 0.363
Pm5 0.509 0.999 0.262
Pm6 0.491 0.001 0.738
Pm7 0.909 0.250 0.076
Pm8 0.491 0.499 0.738
Ga1 0.700 0.750 0.041
Ga2 0.300 0.250 0.959
Ga3 0.237 0.250 0.427
Ga4 0.763 0.750 0.573

---

Number 1: mass density 5.56 g/cm³. Number 2: mass density 4.76 g/cm³. Number 3: mass density 5.95 g/cm³. Number 4: mass density 7.55 g/cm³. Number 5: mass density 6.32 g/cm³. Number 6: mass density 6.46 g/cm³.